1.
{"formula": "Rb4HCl2", "functional": "PBE", "state": "relaxed", "cell": [[5.7184, 0.0000, 0.0000], [0.0000, 5.7184, 0.0000], [2.8592, 2.8592, 8.5763]], "species": ["H", "Rb", "Rb", "Rb", "Rb", "Cl", "Cl"], "fractional_positions": [[0.0000, 0.0000, 0.0000], [0.8062, 0.8062, 0.3876], [0.5000, 0.0000, 0.0000], [0.0000, 0.5000, 0.0000], [0.1938, 0.1938, 0.6124], [0.6152, 0.6152, 0.7696], [0.3848, 0.3848, 0.2304]], "space_group": "I4/mmm, No. 139", "mass_density_g_cm3": 2.5, "energy_ev_per_cell": -18.09}

=====

2.
{"formula": "VSiAgTe2", "functional": "PBE", "state": "relaxed", "cell": [[-0.7439, 1.6186, 4.9047], [-2.9458, -3.4803, 0.7017], [3.9464, -3.0187, 1.5948]], "species": ["Si", "V", "Ag", "Te", "Te"], "fractional_positions": [[0.0000, 0.5000, 0.0000], [0.0000, 0.0000, 0.0000], [0.5000, 0.5000, 0.5000], [0.5000, 0.0000, 0.0000], [0.0000, 0.0000, 0.5000]], "space_group": "P4/mmm, No. 123", "mass_density_g_cm3": 5.8, "e_form_raw_ev_per_fu": 2.16}

=====

3.
{"formula": "ErMg2Cu", "functional": "PBE", "state": "relaxed", "cell": [[3.2964, 0.0000, 0.0000], [0.0000, 3.2964, 0.0000], [0.0000, 0.0000, 7.8080]], "species": ["Mg", "Mg", "Cu", "Er"], "fractional_positions": [[0.0000, 0.0000, 0.1928], [0.0000, 0.0000, 0.8072], [0.5000, 0.5000, 0.0000], [0.5000, 0.5000, 0.5000]], "space_group": "P4/mmm, No. 123", "mass_density_g_cm3": 5.5, "formation_enthalpy_0k_mev_per_atom": -33}

=====

4.
{"formula": "KPtW2", "functional": "PBE", "state": "relaxed", "cell": [[5.6824, 0.0087, 0.0000], [-3.0785, 4.7763, 0.0000], [0.0000, 0.0000, 2.6959]], "species": ["K", "Pt", "W", "W"], "fractional_positions": [[0.5000, 0.0000, 0.5000], [0.0000, 0.5000, 0.5000], [0.5000, 0.5000, 0.0000], [0.0000, 0.0000, 0.0000]], "space_group": "Cmmm, No. 65", "mass_density_g_cm3": 13.6, "formation_enthalpy_0k_mev_per_atom": 1241, "e_above_lowest_polymorph_mev_per_atom": 728}

=====

5.
{"formula": "Y3CdO", "functional": "PBE", "state": "relaxed", "cell": [[3.7088, 0.0000, 0.4224], [0.0000, 6.9178, 0.0000], [-1.1463, 0.0000, 10.0661]], "species": ["Cd", "Cd", "Y", "Y", "Y", "Y", "Y", "Y", "O", "O"], "fractional_positions": [[0.2500, 0.7500, 0.3322], [0.7500, 0.2500, 0.6678], [0.2500, 0.2500, 0.4126], [0.7500, 0.0016, 0.1504], [0.7500, 0.4984, 0.1504], [0.2500, 0.9984, 0.8496], [0.7500, 0.7500, 0.5874], [0.2500, 0.5016, 0.8496], [0.7500, 0.2500, 0.2872], [0.2500, 0.7500, 0.7128]], "space_group": "Pmmn, No. 59", "mass_density_g_cm3": 5.0, "e_form_raw_ev_per_fu": -5.99, "e_above_lowest_polymorph_mev_per_atom": 139}

=====

6.
{"formula": "Y2VN", "functional": "PBE", "state": "relaxed", "cell": [[-0.7908, 3.2663, -0.1534], [-1.9337, 1.3763, 2.3841], [6.0796, 3.4538, 5.3106]], "species": ["Y", "Y", "V", "N"], "fractional_positions": [[0.1135, 0.1135, 0.6596], [0.8865, 0.8865, 0.3404], [0.0000, 0.0000, 0.0000], [0.5000, 0.5000, 0.5000]], "space_group": "R-3m, No. 166", "mass_density_g_cm3": 4.8, "e_form_raw_ev_per_fu": -0.93}